A relaxed structure of LaIr2, computed with PBE-GGA. Values from VASP.

Structure (Quantum ESPRESSO input):
```
&SYSTEM
  ibrav = 0, nat = 6, ntyp = 2
/
ATOMIC_SPECIES
La 138.91 La.upf
Ir 192.22 Ir.upf
ATOMIC_POSITIONS angstrom
La 3.092 -6.215 3.177
Ir 3.535 -8.431 1.343
Ir -5.132 7.244 3.735
Ir -0.926 0.361 3.450
Ir -0.671 -1.548 1.628
La -4.690 5.028 1.901
CELL_PARAMETERS angstrom
-6.702 7.575 1.135
3.712 -9.467 0.429
1.392 0.705 3.514
```

Values from the calculation:
**SG**: Cmcm
**ρ**: 11.69 g cm⁻³
**Formation energy from the elements**: -0.072 eV/atom